Below is a relaxed structure of CdCoTe2, with properties calculated at the PBE-GGA level.

The structure belongs to space group Cmmm (No. 65); the cell edges are 4.046, 4.999 and 9.648 Å and the angles 90.00°, 90.00° and 90.00°. Symmetry generates all atoms from Cd at (0.000, 0.000, 0.000), Co at (0.000, 0.000, 0.500) and Te at (0.000, 0.500, 0.328).

The energy relative to the elements, uncorrected is 218 meV per atom. The total energy comes out at -26.9 eV per cell. Its density is 7.3 g cm⁻³.